# La12PmSm6 | the Alexandria database | PBE-GGA | relaxed
data_La12PmSm6
_cell_length_a 16.1231
_cell_length_b 16.1231
_cell_length_c 9.0604
_cell_angle_alpha 90.00
_cell_angle_beta 90.00
_cell_angle_gamma 120.00
_space_group_name_H-M_alt 'R -3'
_space_group_IT_number 148
_space_group_name_Hall '-R 3'
loop_
_atom_site_label
_atom_site_fract_x
_atom_site_fract_y
_atom_site_fract_z
_atom_site_occupancy
La1 0.0168 0.1402 0.1661 1
La2 0.0696 0.5619 0.1657 1
Pm1 0.0000 0.0000 0.5000 1
Sm1 0.0351 0.2818 0.8328 1
# **DOS(E_F)**: 1.8381 states/eV per atom
# **Total energy**: -4.834 eV per atom

# Tl2As | the Alexandria database | PBE-GGA | relaxed
data_Tl2As
_cell_length_a 4.3554
_cell_length_b 4.3554
_cell_length_c 5.5199
_cell_angle_alpha 90.00
_cell_angle_beta 90.00
_cell_angle_gamma 120.00
_space_group_name_H-M_alt 'P -3 m 1'
_space_group_IT_number 164
_space_group_name_Hall '-P 3 2"'
loop_
_atom_site_label
_atom_site_fract_x
_atom_site_fract_y
_atom_site_fract_z
_atom_site_occupancy
Tl1 0.3333 0.6667 0.2778 1
As1 0.0000 0.0000 0.0000 1
# **DOS(E_F)**: 0.7238 states/eV per atom
# **Total energy**: -3.068 eV per atom

# LaGeOs | the Alexandria database | PBE-GGA | relaxed
data_LaGeOs
_cell_length_a 11.348
_cell_length_b 4.129
_cell_length_c 6.075
_cell_angle_alpha 90.00
_cell_angle_beta 107.90
_cell_angle_gamma 90.00
_space_group_name_H-M_alt 'C 1 m 1'
_space_group_IT_number 8
loop_
_space_group_symop_operation_xyz
'x,y,z'
'x,-y,z'
'x+1/2,y+1/2,z'
'x+1/2,-y+1/2,z'
loop_
_atom_site_label
_atom_site_fract_x
_atom_site_fract_y
_atom_site_fract_z
_atom_site_occupancy
La1 0.000 0.000 0.000 1
La2 0.217 0.000 0.608 1
Ge1 0.212 0.500 0.993 1
Ge2 0.409 0.500 0.448 1
Os1 0.022 0.500 0.630 1
Os2 0.327 0.000 0.207 1
# **DOS(E_F)**: 0.6510 states/eV per atom
# **Total energy**: -7.286 eV per atom

# RbLaHg17 | the Alexandria database | PBE-GGA | relaxed
data_RbLaHg17
_cell_length_a 10.1884
_cell_length_b 10.1884
_cell_length_c 17.8180
_cell_angle_alpha 90.00
_cell_angle_beta 90.00
_cell_angle_gamma 120.00
_space_group_name_H-M_alt 'R 3 m'
_space_group_IT_number 160
_space_group_name_Hall 'R 3 -2"'
loop_
_atom_site_label
_atom_site_fract_x
_atom_site_fract_y
_atom_site_fract_z
_atom_site_occupancy
Rb1 0.0000 0.0000 0.0000 1
La1 0.0000 0.0000 0.6760 1
Hg1 0.0000 0.0000 0.2973 1
Hg2 0.0000 0.0000 0.4697 1
Hg3 0.0028 0.3042 0.3566 1
Hg4 0.0376 0.5188 0.2224 1
Hg5 0.0848 0.5424 0.8409 1
Hg6 0.0920 0.5460 0.4897 1
# **DOS(E_F)**: 0.4182 states/eV per atom
# **Total energy**: -0.704 eV per atom

# BaAcHgPb | the Alexandria database | PBE-GGA | relaxed
data_BaAcHgPb
_cell_length_a 8.376
_cell_length_b 8.376
_cell_length_c 8.376
_cell_angle_alpha 90.00
_cell_angle_beta 90.00
_cell_angle_gamma 90.00
_space_group_name_H-M_alt 'F -4 3 m'
_space_group_IT_number 216
_space_group_name_Hall 'F -4 2 3'
loop_
_atom_site_label
_atom_site_fract_x
_atom_site_fract_y
_atom_site_fract_z
_atom_site_occupancy
Ba1 0.000 0.000 0.000 1
Ac1 0.000 0.000 0.500 1
Hg1 0.250 0.250 0.250 1
Pb1 0.250 0.250 0.750 1
# **DOS(E_F)**: 1.2571 states/eV per atom
# **Total energy**: -3.002 eV per atom

# BeNb3Pd | the Alexandria database | PBE-GGA | relaxed
data_BeNb3Pd
_cell_length_a 4.830
_cell_length_b 4.830
_cell_length_c 4.830
_cell_angle_alpha 90.00
_cell_angle_beta 90.00
_cell_angle_gamma 90.00
_space_group_name_H-M_alt 'P m -3 m'
_space_group_IT_number 221
_space_group_name_Hall '-P 4 2 3'
loop_
_atom_site_label
_atom_site_fract_x
_atom_site_fract_y
_atom_site_fract_z
_atom_site_occupancy
Be1 0.000 0.000 0.000 1
Nb1 0.000 0.500 0.500 1
Pd1 0.500 0.500 0.500 1
# **DOS(E_F)**: 2.7393 states/eV per atom
# **Total energy**: -6.240 eV per atom

# Ba3NaAg | the Alexandria database | PBE-GGA | relaxed
data_Ba3NaAg
_cell_length_a 6.575
_cell_length_b 6.575
_cell_length_c 6.575
_cell_angle_alpha 90.00
_cell_angle_beta 90.00
_cell_angle_gamma 90.00
_space_group_name_H-M_alt 'P m -3 m'
_space_group_IT_number 221
_space_group_name_Hall '-P 4 2 3'
loop_
_atom_site_label
_atom_site_fract_x
_atom_site_fract_y
_atom_site_fract_z
_atom_site_occupancy
Ba1 0.000 0.000 0.500 1
Na1 0.500 0.500 0.500 1
Ag1 0.000 0.000 0.000 1
# **DOS(E_F)**: 0.9885 states/eV per atom
# **Total energy**: -2.038 eV per atom

# AcPrSnPt | the Alexandria database | PBE-GGA | relaxed
data_AcPrSnPt
_cell_length_a 7.747
_cell_length_b 7.747
_cell_length_c 7.747
_cell_angle_alpha 90.00
_cell_angle_beta 90.00
_cell_angle_gamma 90.00
_space_group_name_H-M_alt 'F -4 3 m'
_space_group_IT_number 216
_space_group_name_Hall 'F -4 2 3'
loop_
_atom_site_label
_atom_site_fract_x
_atom_site_fract_y
_atom_site_fract_z
_atom_site_occupancy
Ac1 0.000 0.000 0.000 1
Pr1 0.000 0.000 0.500 1
Sn1 0.250 0.250 0.250 1
Pt1 0.250 0.250 0.750 1
# **DOS(E_F)**: 0.3746 states/eV per atom
# **Total energy**: -5.460 eV per atom